# 1
Density functional theory data (PBE-GGA) for crystalline YIN2 at its relaxed geometry.

Calculated values
As for the space-group type: Fm-3m. The energy is -5.235 eV/atom.

Lattice parameters (Å, degrees): 4.4310 4.4310 4.4310 60.00 60.00 60.00
Positions (direct):
1 Y 0.0000 0.0000 0.0000
2 I 0.5000 0.5000 0.5000
3 N 0.2500 0.2500 0.2500
4 N 0.7500 0.7500 0.7500



# 2
Density functional theory data (PBE-GGA) for crystalline YZnIN2 at its relaxed geometry.

Calculated values
As for the space-group type: P4/mmm. The energy is -4.321 eV/atom.

Lattice parameters (Å, degrees): 4.1749 4.1749 5.2521 90.00 90.00 90.00
Positions (direct):
1 Y 0.0000 0.0000 0.0000
2 Zn 0.5000 0.5000 0.5000
3 I 0.5000 0.5000 0.0000
4 N 0.0000 0.5000 0.5000
5 N 0.5000 0.0000 0.5000



# 3
Density functional theory data (PBE-GGA) for crystalline YZnI2N at its relaxed geometry.

Calculated values
As for the space-group type: P4/mmm. The energy is -3.897 eV/atom.

Lattice parameters (Å, degrees): 6.1953 6.1953 4.3587 90.00 90.00 90.00
Positions (direct):
1 Y 0.0000 0.0000 0.0000
2 Zn 0.5000 0.5000 0.5000
3 I 0.0000 0.5000 0.0000
4 I 0.5000 0.0000 0.0000
5 N 0.0000 0.0000 0.5000



# 4
Density functional theory data (PBE-GGA) for crystalline YZnI2N at its relaxed geometry.

Calculated values
As for the space-group type: P4/mmm. The energy is -3.689 eV/atom.

Lattice parameters (Å, degrees): 5.8552 5.8552 3.7249 90.00 90.00 90.00
Positions (direct):
1 Y 0.0000 0.0000 0.0000
2 Zn 0.5000 0.5000 0.5000
3 I 0.0000 0.5000 0.5000
4 I 0.5000 0.0000 0.5000
5 N 0.5000 0.5000 0.0000



# 5
Density functional theory data (PBE-GGA) for crystalline YZnIN2 at its relaxed geometry.

Calculated values
As for the space-group type: P4/mmm. The energy is -4.453 eV/atom.

Lattice parameters (Å, degrees): 4.3435 4.3435 6.5493 90.00 90.00 90.00
Positions (direct):
1 Y 0.0000 0.0000 0.0000
2 Zn 0.5000 0.5000 0.5000
3 I 0.0000 0.0000 0.5000
4 N 0.0000 0.5000 0.0000
5 N 0.5000 0.0000 0.0000



# 6
Density functional theory data (PBE-GGA) for crystalline YZrIN2 at its relaxed geometry.

Calculated values
As for the space-group type: P4/mmm. The energy is -6.676 eV/atom.

Lattice parameters (Å, degrees): 4.3124 4.3124 5.5715 90.00 90.00 90.00
Positions (direct):
1 Y 0.0000 0.0000 0.0000
2 Zr 0.5000 0.5000 0.5000
3 I 0.5000 0.5000 0.0000
4 N 0.0000 0.5000 0.5000
5 N 0.5000 0.0000 0.5000



# 7
Density functional theory data (PBE-GGA) for crystalline YZrIN2 at its relaxed geometry.

Calculated values
As for the space-group type: P4/mmm. The energy is -5.893 eV/atom.

Lattice parameters (Å, degrees): 4.3889 4.3889 5.7288 90.00 90.00 90.00
Positions (direct):
1 Y 0.0000 0.0000 0.0000
2 Zr 0.5000 0.5000 0.5000
3 I 0.0000 0.0000 0.5000
4 N 0.0000 0.5000 0.0000
5 N 0.5000 0.0000 0.0000



# 8
Density functional theory data (PBE-GGA) for crystalline Zn3IN at its relaxed geometry.

Calculated values
As for the space-group type: Pm-3m. The energy is -2.316 eV/atom.

Lattice parameters (Å, degrees): 4.5052 4.5052 4.5052 90.00 90.00 90.00
Positions (direct):
1 Zn 0.0000 0.0000 0.5000
2 Zn 0.0000 0.5000 0.0000
3 Zn 0.5000 0.0000 0.0000
4 I 0.5000 0.5000 0.5000
5 N 0.0000 0.0000 0.0000



Looking at D(E_F) for the records above, in order, we have 4.93 2.83 4.45 3.84 3.99 2.75 6.33 1.95 states/eV/f.u..
Looking at size of the total moment for the records above, in order, we have 0.17 0.15 0.32 0.17 0.15 0.00 0.00 0.00 μB/atom.